## AlSbI2Br (PBE-GGA)

Data for a relaxed structure of AlSbI2Br.

Properties
E_form (uncorrected) (eV per atom): 0.654
Magnetization (μB per cell): 2.06
Energy relative to the lowest polymorph listed for this composition (eV per atom): 0.539

Cell: 6.5434 6.5434 5.4973 Å, 90.00 90.00 90.00°
Closest atoms and distances in Å follow each position.
Space group P4/mmm (No. 123)
Symmetry-distinct sites (fractional):
Al 0.0000 0.0000 0.0000 x1  8 I 4.27, 4 Sb 4.63
Sb 0.5000 0.5000 0.0000 x1  2 Br 2.75
I 0.0000 0.5000 0.5000 x2  2 Br 3.27
Br 0.5000 0.5000 0.5000 x1  2 Sb 2.75

=====

## In5AgRh4 (PBE-GGA)

Data for a relaxed structure of In5AgRh4.

Properties
Energy of formation (meV/atom): -314.1
Magnetization (μB per cell): 0.00

Cell: 3.1544 3.1544 17.7650 Å, 90.00 90.00 90.00°
Closest atoms and distances in Å follow each position.
Space group P4/mmm (No. 123)
Symmetry-distinct sites (fractional):
In 0.0000 0.0000 0.0000 x1  8 Rh 2.81
In 0.0000 0.0000 0.1918 x2  8 Rh 2.81-2.82
In 0.0000 0.0000 0.3836 x2  4 Rh 2.80, 4 Ag 3.04
Ag 0.5000 0.5000 0.5000 x1  8 In 3.04, 4 Ag 3.15
Rh 0.5000 0.5000 0.0959 x2  8 In 2.81
Rh 0.5000 0.5000 0.2887 x2  8 In 2.80-2.82

=====

## Tc2MoPt2 (PBE-GGA)

Data for a relaxed structure of Tc2MoPt2.

Properties
Energy of formation (meV/atom): 182.1
Magnetization (μB per cell): 0.00

Cell: 7.5996 7.5996 2.7407 Å, 90.00 90.00 90.00°
Closest atoms and distances in Å follow each position.
Space group P4/mbm (No. 127)
Symmetry-distinct sites (fractional):
Tc 0.1743 0.3257 0.0000 x4  6 Pt 2.56-2.68, 2 Tc 2.74
Mo 0.0000 0.0000 0.5000 x2  2 Mo 2.74, 4 Pt 3.01
Pt 0.1241 0.6241 0.5000 x4  6 Tc 2.56-2.68, 3 Pt 2.67-2.74